w | This record from Alexandria describes a geometry-optimized Zr2Zn2Br structure. The functional is PBE.

The space group is P4/mbm (No. 127) and the conventional cell measures 7.1170, 7.1170 and 4.0970 Å, with angles of 90.00, 90.00 and 90.00 degrees. Symmetry generates all atoms from Zr at (0.1590, 0.3410, 0.0000), Zn at (0.1349, 0.6349, 0.5000) and Br at (0.0000, 0.0000, 0.0000).

The value obtained for the magnetization is 0.00 Bohr magnetons per cell.

x | This record from Alexandria describes a geometry-optimized Zr2Zn2Br structure. The functional is PBE.

The space group is I4/mmm (No. 139) and the conventional cell measures 4.6557, 4.6557 and 10.8500 Å, with angles of 90.00, 90.00 and 90.00 degrees. Symmetry generates all atoms from Zr at (0.0000, 0.5000, 0.2500), Zn at (0.0000, 0.0000, 0.1102) and Br at (0.0000, 0.0000, 0.5000).

The value obtained for the magnetization is 0.00 Bohr magnetons per cell.

Most stable pick: w. Distance to second place: 57.4 kJ/mol of atoms.

w | This record from Alexandria describes a geometry-optimized FeCu2Ir structure. The functional is PBE.

The space group is Cm (No. 8) and the conventional cell measures 8.6254, 2.6839 and 4.5028 Å, with angles of 90.00, 101.27 and 90.00 degrees. Symmetry generates all atoms from Fe at (0.0000, 0.0000, 0.0000), Cu at (0.0002, 0.5000, 0.4965), Cu at (0.2505, 0.5000, 0.2757) and Ir at (0.2521, 0.0000, 0.7789).

The value obtained for the magnetization is 5.93 Bohr magnetons per cell.

x | This record from Alexandria describes a geometry-optimized FeCu2Ir structure. The functional is PBE.

The space group is Pmmm (No. 47) and the conventional cell measures 2.6097, 3.8176 and 5.1600 Å, with angles of 90.00, 90.00 and 90.00 degrees. Symmetry generates all atoms from Fe at (0.0000, 0.0000, 0.0000), Cu at (0.5000, 0.5000, 0.2451) and Ir at (0.0000, 0.0000, 0.5000).

The value obtained for the magnetization is 3.61 Bohr magnetons per cell.

Most stable pick: w. Distance to second place: 4.1 kJ/mol of atoms.

w | This record from Alexandria describes a geometry-optimized TaCd2Co structure. The functional is PBE.

The space group is P2/m (No. 10) and the conventional cell measures 2.8436, 4.6616 and 5.3376 Å, with angles of 90.00, 103.64 and 90.00 degrees. Symmetry generates all atoms from Ta at (0.0000, 0.0000, 0.0000), Cd at (0.3417, 0.5000, 0.7351) and Co at (0.5000, 0.0000, 0.5000).

The value obtained for the magnetization is 0.12 Bohr magnetons per cell.

x | This record from Alexandria describes a geometry-optimized TaCd2Co structure. The functional is PBE.

The space group is Pmmm (No. 47) and the conventional cell measures 3.1995, 4.4691 and 4.8577 Å, with angles of 90.00, 90.00 and 90.00 degrees. Symmetry generates all atoms from Ta at (0.0000, 0.0000, 0.0000), Cd at (0.0000, 0.5000, 0.5000), Cd at (0.5000, 0.0000, 0.5000) and Co at (0.5000, 0.5000, 0.0000).

The value obtained for the magnetization is 0.73 Bohr magnetons per cell.

Most stable pick: x. Distance to second place: 0.5 kJ/mol of atoms.

w | This record from Alexandria describes a geometry-optimized SnHOs2 structure. The functional is PBE.

The space group is Pmm2 (No. 25) and the conventional cell measures 2.9457, 3.0427 and 6.2081 Å, with angles of 90.00, 90.00 and 90.00 degrees. Symmetry generates all atoms from Sn at (0.0000, 0.0000, 0.0000), H at (0.5000, 0.5000, 0.7649), Os at (0.0000, 0.5000, 0.3552) and Os at (0.5000, 0.0000, 0.6198).

The value obtained for the magnetization is 0.00 Bohr magnetons per cell.

x | This record from Alexandria describes a geometry-optimized SnHOs2 structure. The functional is PBE.

The space group is Cm (No. 8) and the conventional cell measures 14.0169, 2.8712 and 2.9011 Å, with angles of 90.00, 101.76 and 90.00 degrees. Symmetry generates all atoms from Sn at (0.0000, 0.0000, 0.0000), H at (0.1246, 0.5000, 0.6265), Os at (0.2035, 0.0000, 0.7079) and Os at (0.3213, 0.5000, 0.3241).

The value obtained for the magnetization is 0.00 Bohr magnetons per cell.

Most stable pick: w. Distance to second place: 1.1 kJ/mol of atoms.

w | This record from Alexandria describes a geometry-optimized YReCl2 structure. The functional is PBE.

The space group is Imm2 (No. 44) and the conventional cell measures 3.1821, 3.8273 and 16.0065 Å, with angles of 90.00, 90.00 and 90.00 degrees. Symmetry generates all atoms from Y at (0.0000, 0.0000, 0.0000), Re at (0.0000, 0.5000, 0.6445), Cl at (0.0000, 0.0000, 0.4124) and Cl at (0.0000, 0.5000, 0.1806).

The value obtained for the magnetization is 0.00 Bohr magnetons per cell.

x | This record from Alexandria describes a geometry-optimized YReCl2 structure. The functional is PBE.

The space group is Immm (No. 71) and the conventional cell measures 3.3983, 5.2517 and 13.5985 Å, with angles of 90.00, 90.00 and 90.00 degrees. Symmetry generates all atoms from Y at (0.0000, 0.0000, 0.0000), Re at (0.0000, 0.0000, 0.5000) and Cl at (0.0000, 0.5000, 0.3477).

The value obtained for the magnetization is 7.53 Bohr magnetons per cell.

Most stable pick: w. Distance to second place: 5.4 kJ/mol of atoms.

w | This record from Alexandria describes a geometry-optimized CsTa3F structure. The functional is PBE.

The space group is Pm-3m (No. 221) and the conventional cell measures 5.0872, 5.0872 and 5.0872 Å, with angles of 90.00, 90.00 and 90.00 degrees. Symmetry generates all atoms from Cs at (0.0000, 0.0000, 0.0000), Ta at (0.0000, 0.0000, 0.5000) and F at (0.5000, 0.5000, 0.5000).

The value obtained for the magnetization is 0.00 Bohr magnetons per cell.

x | This record from Alexandria describes a geometry-optimized CsTa3F structure. The functional is PBE.

The space group is Pm-3m (No. 221) and the conventional cell measures 4.6362, 4.6362 and 4.6362 Å, with angles of 90.00, 90.00 and 90.00 degrees. Symmetry generates all atoms from Cs at (0.0000, 0.0000, 0.0000), Ta at (0.0000, 0.5000, 0.5000) and F at (0.5000, 0.5000, 0.5000).

The value obtained for the magnetization is 0.00 Bohr magnetons per cell.

Most stable pick: x. Distance to second place: 181.3 kJ/mol of atoms.